A relaxed FeAgP2 crystal. Source: Alexandria via LeMat-Bulk, functional GGA-PBE.

Values from the calculation:
As for the formation energy: 10.4 meV per atom. The value obtained for the energy above the most stable polymorph in this dataset is 0 meV/atom. For the total DFT energy (no corrections), the calculation gives -5.5230 eV per atom.

Cell and atoms, written as POSCAR:
```
FeAgP2
1.0
2.7571 0.0000 0.0000
0.0000 2.7984 0.0000
0.0000 0.0000 7.5746
Fe Ag P
1 1 2
Direct
0.0000 0.0000 0.0000
0.0000 0.5000 0.5000
0.5000 0.5000 0.1796
0.5000 0.5000 0.8204
```

A relaxed FeAg2P crystal. Source: Alexandria via LeMat-Bulk, functional GGA-PBE.

Values from the calculation:
As for the formation energy: 419.2 meV per atom. For the total DFT energy (no corrections), the calculation gives -4.4746 eV per atom.

Cell and atoms, written as POSCAR:
```
FeAg2P
1.0
0.0000 3.1465 3.1465
3.1465 0.0000 3.1465
3.1465 3.1465 0.0000
Fe Ag P
1 2 1
Direct
0.0000 0.0000 0.0000
0.5000 0.5000 0.5000
0.7500 0.7500 0.7500
0.2500 0.2500 0.2500
```

A relaxed FeAg2P2 crystal. Source: Alexandria via LeMat-Bulk, functional GGA-PBE.

Values from the calculation:
As for the formation energy: 653.5 meV per atom. The value obtained for the energy above the most stable polymorph in this dataset is 119 meV/atom. For the total DFT energy (no corrections), the calculation gives -4.3434 eV per atom.

Cell and atoms, written as POSCAR:
```
FeAg2P2
1.0
7.4891 0.0000 0.0000
0.0000 7.4891 0.0000
0.0000 0.0000 3.0085
Fe Ag P
2 4 4
Direct
0.0000 0.0000 0.0000
0.5000 0.5000 0.0000
0.1314 0.3686 0.0000
0.3686 0.8686 0.0000
0.6314 0.1314 0.0000
0.8686 0.6314 0.0000
0.1755 0.6755 0.5000
0.3245 0.1755 0.5000
0.6755 0.8245 0.5000
0.8245 0.3245 0.5000
```

A relaxed FeAgP crystal. Source: Alexandria via LeMat-Bulk, functional GGA-PBE.

Values from the calculation:
As for the formation energy: 88.1 meV per atom. The value obtained for the energy above the most stable polymorph in this dataset is 309 meV/atom. For the total DFT energy (no corrections), the calculation gives -5.4865 eV per atom.

Cell and atoms, written as POSCAR:
```
FeAgP
1.0
3.7241 0.0000 0.0000
-1.8620 3.2251 0.0000
0.0000 0.0000 3.6201
Fe Ag P
1 1 1
Direct
0.0000 0.0000 0.0000
0.3333 0.6667 0.5000
0.6667 0.3333 0.0000
```

A relaxed FeAgP2 crystal. Source: Alexandria via LeMat-Bulk, functional GGA-PBE.

Values from the calculation:
As for the formation energy: 238.0 meV per atom. The value obtained for the energy above the most stable polymorph in this dataset is 228 meV/atom. For the total DFT energy (no corrections), the calculation gives -5.2954 eV per atom.

Cell and atoms, written as POSCAR:
```
FeAgP2
1.0
-1.3472 2.3424 5.2414
1.3472 -2.3424 5.2414
1.3472 2.3424 -5.2414
Fe Ag P
1 1 2
Direct
0.0000 0.0000 0.0000
0.5000 0.5000 0.0000
0.1702 0.6702 0.5000
0.8298 0.3298 0.5000
```

A relaxed FeAg2P crystal. Source: Alexandria via LeMat-Bulk, functional GGA-PBE.

Values from the calculation:
As for the formation energy: 363.6 meV per atom. For the total DFT energy (no corrections), the calculation gives -4.5302 eV per atom.

Cell and atoms, written as POSCAR:
```
FeAg2P
1.0
3.8284 0.0000 0.0000
0.0000 3.8284 0.0000
0.0000 0.0000 4.2991
Fe Ag P
1 2 1
Direct
0.0000 0.0000 0.0000
0.0000 0.5000 0.5000
0.5000 0.0000 0.5000
0.5000 0.5000 0.0000
```

A relaxed FeAg2P crystal. Source: Alexandria via LeMat-Bulk, functional GGA-PBE.

Values from the calculation:
As for the formation energy: 168.5 meV per atom. For the total DFT energy (no corrections), the calculation gives -4.7252 eV per atom.

Cell and atoms, written as POSCAR:
```
FeAg2P
1.0
3.7506 -1.4228 0.0000
3.7506 1.4228 0.0000
-1.0608 0.0000 6.1693
Fe Ag P
1 2 1
Direct
0.0000 0.0000 0.0000
0.5122 0.5122 0.6182
0.7454 0.7454 0.3116
0.2796 0.2796 0.9413
```

A relaxed FeAg2P crystal. Source: Alexandria via LeMat-Bulk, functional GGA-PBE.

Values from the calculation:
As for the formation energy: 661.4 meV per atom. For the total DFT energy (no corrections), the calculation gives -4.2324 eV per atom.

Cell and atoms, written as POSCAR:
```
FeAg2P
1.0
-1.8242 1.8242 9.6697
1.8242 -1.8242 9.6697
1.8242 1.8242 -9.6697
Fe Ag P
2 4 2
Direct
0.0000 0.0000 0.0000
0.7500 0.2500 0.5000
0.1252 0.6250 0.0002
0.3750 0.3752 0.5002
0.6248 0.1250 0.9998
0.8750 0.8748 0.4998
0.2500 0.7500 0.5000
0.5000 0.5000 0.0000
```

A relaxed FeAgP crystal. Source: Alexandria via LeMat-Bulk, functional GGA-PBE.

Values from the calculation:
As for the formation energy: -220.7 meV per atom. The value obtained for the energy above the most stable polymorph in this dataset is 0 meV/atom. For the total DFT energy (no corrections), the calculation gives -5.7953 eV per atom.

Cell and atoms, written as POSCAR:
```
FeAgP
1.0
3.7702 0.0000 0.0000
0.0000 3.7702 0.0000
0.0000 0.0000 5.9389
Fe Ag P
2 2 2
Direct
0.2500 0.7500 0.0000
0.7500 0.2500 0.0000
0.2500 0.2500 0.3755
0.7500 0.7500 0.6245
0.2500 0.2500 0.8037
0.7500 0.7500 0.1963
```

A relaxed Fe2AgP crystal. Source: Alexandria via LeMat-Bulk, functional GGA-PBE.

Values from the calculation:
As for the formation energy: 330.3 meV per atom. For the total DFT energy (no corrections), the calculation gives -5.9663 eV per atom.

Cell and atoms, written as POSCAR:
```
Fe2AgP
1.0
2.6630 -3.6911 0.0000
2.6630 3.6911 0.0000
0.0000 0.0000 2.7644
Fe Ag P
2 1 1
Direct
0.0000 0.5000 0.0000
0.5000 0.0000 0.0000
0.0000 0.0000 0.5000
0.5000 0.5000 0.5000
```

A relaxed Fe2AgP crystal. Source: Alexandria via LeMat-Bulk, functional GGA-PBE.

Values from the calculation:
As for the formation energy: 111.3 meV per atom. For the total DFT energy (no corrections), the calculation gives -6.1853 eV per atom.

Cell and atoms, written as POSCAR:
```
Fe2AgP
1.0
3.3037 -1.9584 0.0000
3.3037 1.9584 0.0000
-2.3796 0.0000 4.4706
Fe Ag P
2 1 1
Direct
0.2044 0.2044 0.1053
0.7956 0.7956 0.8947
0.0000 0.0000 0.5000
0.5000 0.5000 0.0000
```

A relaxed FeAgP crystal. Source: Alexandria via LeMat-Bulk, functional GGA-PBE.

Values from the calculation:
As for the formation energy: 115.4 meV per atom. The value obtained for the energy above the most stable polymorph in this dataset is 336 meV/atom. For the total DFT energy (no corrections), the calculation gives -5.4592 eV per atom.

Cell and atoms, written as POSCAR:
```
FeAgP
1.0
2.8822 0.0000 0.0000
-1.4411 2.4961 0.0000
0.0000 0.0000 6.1819
Fe Ag P
1 1 1
Direct
0.0000 0.0000 0.0000
0.6667 0.3333 0.6349
0.3333 0.6667 0.2387
```